Density functional theory data (PBE-GGA) for an optimized crystal structure of MgNbH2.

Cell lengths 5.4566, 5.4566, 5.4566 Å; angles 90.00, 90.00, 90.00 degrees
Space group Fm-3m (No. 225)
One atom of each set of equivalent atoms:
Mg 0.0000 0.0000 0.0000
Nb 0.0000 0.0000 0.5000
H 0.2500 0.2500 0.2500

Computed properties:
**ρ**: 4.87 Mg/m³
**Energy above the lowest structure with this stoichiometry**: 218 kJ/mol of formula units
**Size of the total moment**: 0.0 μB per cell


Density functional theory data (PBE-GGA) for an optimized crystal structure of LaV2CuRu.

Cell lengths 4.6017, 4.6017, 4.9287 Å; angles 90.00, 90.00, 90.00 degrees
Space group P4/mmm (No. 123)
One atom of each set of equivalent atoms:
La 0.0000 0.0000 0.0000
V 0.0000 0.5000 0.5000
Cu 0.5000 0.5000 0.0000
Ru 0.5000 0.5000 0.5000

Computed properties:
**ρ**: 6.45 Mg/m³
**Energy relative to the elements**: 0.43 eV/atom
**Size of the total moment**: 3.6 μB per cell


Density functional theory data (PBE-GGA) for an optimized crystal structure of CaAc5Tl6.

Cell lengths 5.8095, 17.4492, 8.1657 Å; angles 90.00, 90.00, 90.00 degrees
Space group Cmmm (No. 65)
One atom of each set of equivalent atoms:
Ca 0.0000 0.0000 0.0000
Ac 0.0000 0.0000 0.5000
Ac 0.0000 0.3296 0.5000
Ac 0.0000 0.3379 0.0000
Tl 0.0000 0.1621 0.2408
Tl 0.0000 0.5000 0.2474

Computed properties:
**ρ**: 9.63 Mg/m³
**Energy above the lowest structure with this stoichiometry**: 0 kJ/mol of formula units
**Energy relative to the elements**: -0.37 eV/atom
**Size of the total moment**: 0.0 μB per cell